Computed, not measured: a PBEsol-optimized structure of InCoAs at the meta-GGA SCAN level of DFT.

## Properties
* total magnetization: 0.9 μB per cell
* calculated volume: 17.05 Å³ per atom
* uncorrected energy: -23.45 eV per atom
* E_form: 52.5 kJ/mol of formula units

Geometry as POSCAR:
```
InCoAs
1.0
3.920 0.000 0.000
-1.960 3.395 0.000
0.000 0.000 3.844
In Co As
1 1 1
direct
0.000 0.000 0.000
0.667 0.333 0.500
0.333 0.667 0.500
```